# BiTeCl2

Crystalline BiTeCl2 at its relaxed geometry (PBE-GGA, the Alexandria database).

Values from the calculation:
Uncorrected energy: -2.91 eV/atom
DOS(E_F): 1.87 states/eV/cell
SG: R-3m, No. 166
Raw formation energy: -230 meV/atom
ΔE to the lowest computed polymorph: 242 meV per atom

Structure (extended XYZ):
```
4
Lattice="-0.811 -8.489 5.812 2.385 -9.004 4.443 2.001 -7.005 7.309" Properties=species:S:1:pos:R:3 pbc="T T T"
Te 0.000 0.000 0.000
Bi 1.787 -12.249 8.782
Cl 3.263 -22.364 16.034
Cl 0.311 -2.134 1.530
```


# Bi3Te2Cl10

Crystalline Bi3Te2Cl10 at its relaxed geometry (PBE-GGA, the Alexandria database).

Values from the calculation:
Uncorrected energy: -3.24 eV/atom
SG: P-1, No. 2
Raw formation energy: -814 meV/atom

Structure (extended XYZ):
```
30
Lattice="-4.566 6.145 0.935 -6.324 -2.954 -6.567 -10.447 -5.795 8.245" Properties=species:S:1:pos:R:3 pbc="T T T"
Cl -10.199 -4.502 -3.488
Cl -11.173 -4.183 8.186
Cl -4.826 -1.892 -3.609
Cl -12.087 -2.469 1.982
Cl -14.421 -3.972 4.700
Cl -14.406 -5.700 1.771
Cl -11.138 1.897 6.101
Cl -12.959 -1.283 6.067
Cl -17.206 -3.024 2.433
Cl -9.250 -0.135 0.631
Cl -6.931 3.095 0.842
Cl -6.426 -3.070 0.296
Cl -6.916 1.367 -2.087
Cl -9.971 -3.766 4.675
Cl -8.378 -1.322 -3.454
Cl -4.131 0.419 0.181
Cl -10.164 1.579 -5.573
Cl -16.511 -0.712 6.222
Cl -14.911 0.465 2.317
Cl -11.366 1.162 -2.061
Te -6.823 -0.367 2.869
Te -14.514 -2.237 -0.256
Te -12.111 -3.120 -1.189
Te -9.226 0.516 3.803
Bi -11.853 -4.761 3.162
Bi -4.876 3.009 -1.048
Bi -9.484 2.156 -0.549
Bi -8.380 -3.382 -5.010
Bi -12.957 0.778 7.623
Bi -16.461 -5.614 3.661
```


# BiTeCl3

Crystalline BiTeCl3 at its relaxed geometry (PBE-GGA, the Alexandria database).

Values from the calculation:
Uncorrected energy: -3.14 eV/atom
DOS(E_F): 1.44 states/eV/cell
SG: P2/c, No. 13
Raw formation energy: -624 meV/atom
ΔE to the lowest computed polymorph: 0 meV per atom

Structure (extended XYZ):
```
20
Lattice="-1.925 -5.994 3.884 7.592 -2.621 -0.283 3.417 8.678 11.308" Properties=species:S:1:pos:R:3 pbc="T T T"
Cl 4.299 2.929 6.872
Cl 4.313 2.226 13.773
Cl 5.483 0.229 10.909
Cl 6.638 3.714 9.605
Cl 0.980 -1.953 1.768
Cl 7.446 0.743 7.245
Cl 8.105 2.016 13.142
Cl 4.786 -2.866 8.038
Cl 1.638 -0.681 7.665
Cl 3.601 -0.167 4.001
Cl 4.771 -2.163 1.137
Cl 2.446 -3.652 5.305
Te 8.305 -0.348 3.860
Te 6.260 -6.410 5.128
Te 2.825 6.473 9.782
Te 0.779 0.410 11.050
Bi 6.944 3.210 7.046
Bi 2.881 -0.315 1.480
Bi 6.204 0.377 13.430
Bi 2.140 -3.148 7.863
```


# BiTeCl2

Crystalline BiTeCl2 at its relaxed geometry (PBE-GGA, the Alexandria database).

Values from the calculation:
Uncorrected energy: -3.15 eV/atom
SG: P2_1/m, No. 11
Raw formation energy: -472 meV/atom
ΔE to the lowest computed polymorph: 0 meV per atom

Structure (extended XYZ):
```
8
Lattice="0.152 -0.730 4.172 -6.454 -2.865 -2.397 3.897 -7.554 -1.464" Properties=species:S:1:pos:R:3 pbc="T T T"
Cl -1.792 -1.448 -0.176
Cl -0.285 -4.370 -0.742
Cl -0.613 -9.701 0.487
Cl -2.121 -6.779 1.054
Te -4.466 -4.641 -0.644
Te 2.060 -6.508 0.955
Bi 0.095 -7.099 -1.228
Bi -2.501 -4.050 1.539
```